First-principles (PBE-GGA) data for a geometry-optimized Tl4In7Pb structure, as listed in the Alexandria database.

- formation energy (eV per atom) = 0.016
- total moment (μB/atom) = 0.000
- SG = P-3m1, No. 164

abc: 3.452 3.452 33.512
angles: 90.00 90.00 120.00
Atoms (fractional coordinates):
In1 0.667 0.333 0.832
In2 0.667 0.333 0.584
In3 0.333 0.667 0.168
In4 0.000 0.000 0.752
In5 0.333 0.667 0.416
In6 0.000 0.000 0.248
In7 0.000 0.000 0.000
Tl1 0.667 0.333 0.331
Tl2 0.667 0.333 0.084
Tl3 0.333 0.667 0.669
Tl4 0.333 0.667 0.916
Pb1 0.000 0.000 0.500


First-principles (PBE-GGA) data for a geometry-optimized Ba2ScH structure, as listed in the Alexandria database.

- total moment (μB/atom) = 0.000
- SG = Fm-3m, No. 225
- ΔE to the lowest computed polymorph (meV per atom) = 485

abc: 5.939 5.939 5.939
angles: 60.00 60.00 60.00
Atoms (fractional coordinates):
Ba1 0.250 0.250 0.250
Ba2 0.750 0.750 0.750
Sc1 0.500 0.500 0.500
H1 0.000 0.000 0.000


First-principles (PBE-GGA) data for a geometry-optimized InAs2Os structure, as listed in the Alexandria database.

- formation energy (eV per atom) = 0.261
- total moment (μB/atom) = 0.000
- SG = I-42d, No. 122

abc: 5.988 5.988 7.113
angles: 65.11 65.11 90.00
Atoms (fractional coordinates):
As1 0.681 0.125 0.250
As2 0.875 0.931 0.750
As3 0.069 0.625 0.250
As4 0.375 0.319 0.750
Os1 0.750 0.250 0.500
Os2 0.000 0.000 0.000
In1 0.500 0.500 0.000
In2 0.250 0.750 0.500


First-principles (PBE-GGA) data for a geometry-optimized Er3SbO3 structure, as listed in the Alexandria database.

- total moment (μB/atom) = 0.000
- final energy (eV per atom) = -7.43
- SG = R-3, No. 148

abc: 6.587 6.587 8.237
angles: 66.43 66.43 60.00
Atoms (fractional coordinates):
O1 0.192 0.865 0.381
O2 0.808 0.135 0.619
O3 0.438 0.808 0.619
O4 0.135 0.438 0.619
O5 0.562 0.192 0.381
O6 0.865 0.562 0.381
Er1 0.099 0.753 0.693
Er2 0.544 0.901 0.307
Er3 0.247 0.544 0.307
Er4 0.456 0.099 0.693
Er5 0.753 0.456 0.693
Er6 0.901 0.247 0.307
Sb1 0.333 0.333 0.000
Sb2 0.667 0.667 0.000


First-principles (PBE-GGA) data for a geometry-optimized Mn3V7 structure, as listed in the Alexandria database.

- formation energy (eV per atom) = 0.053
- total moment (μB/atom) = 0.000
- SG = P6_3/mmc, No. 194

abc: 5.014 7.773 7.773
angles: 120.00 90.00 90.00
Atoms (fractional coordinates):
V1 0.666 0.500 0.000
V2 0.166 0.000 0.500
V3 0.666 0.500 0.500
V4 0.416 0.123 0.245
V5 0.916 0.877 0.755
V6 0.416 0.123 0.877
V7 0.916 0.245 0.123
V8 0.416 0.755 0.877
V9 0.666 0.000 0.500
V10 0.166 0.500 0.500
V11 0.166 0.500 0.000
V12 0.916 0.877 0.123
V13 0.916 0.667 0.333
V14 0.416 0.333 0.667
Mn1 0.916 0.222 0.445
Mn2 0.416 0.778 0.222
Mn3 0.416 0.445 0.222
Mn4 0.916 0.555 0.778
Mn5 0.916 0.222 0.778
Mn6 0.416 0.778 0.555


First-principles (PBE-GGA) data for a geometry-optimized La2InH structure, as listed in the Alexandria database.

- total moment (μB/atom) = 0.001
- SG = P4/mmm, No. 123
- ΔE to the lowest computed polymorph (meV per atom) = 218

abc: 3.488 3.488 7.865
angles: 90.00 90.00 90.00
Atoms (fractional coordinates):
H1 0.500 0.500 0.000
La1 0.000 0.000 0.788
La2 0.000 0.000 0.212
In1 0.500 0.500 0.500